Entry from the Alexandria database: a relaxed structure of AcNdCoO4 (GGA+U).

Cell: 3.822 3.822 13.154 Å, 90.00 90.00 90.00°
Space group I4mm (No. 107)
Asymmetric unit:
Ac  0.000  0.000  0.000 x2
Nd  0.000  0.000  0.726 x2
Co  0.000  0.000  0.352 x2
O  0.000  0.000  0.185 x2
O  0.000  0.000  0.545 x2
O  0.000  0.500  0.353 x4

Properties
- magnetic moment (μB per formula unit) = 1.0
- VASP energy (eV/cell) = -103.58
- density of states at the Fermi level (states/eV/atom) = 0.14